Computed, not measured: a relaxed structure of Cs4K3CoF8 at the GGA+U level of DFT.

abc: 8.1927 8.1927 7.9014
angles: 117.03 117.03 56.08
Last column: nearest neighbours and their distance in Å.
Sites, in units of the cell vectors:
Cs (0.0000, 0.0000, 0.0000)  2 F 2.71
Cs (0.0000, 0.5000, 0.5000)  6 F 2.89-3.23
Cs (0.5000, 0.0000, 0.5000)  6 F 2.89-3.23
Cs (0.5000, 0.5000, 0.0000)  6 F 2.92-3.17
K (0.0000, 0.0000, 0.5000)  4 F 2.70
K (0.0000, 0.5000, 0.0000)  4 F 2.63-2.64
K (0.5000, 0.0000, 0.0000)  4 F 2.63-2.64
Co (0.5000, 0.5000, 0.5000)  4 F 2.23
F (0.2185, 0.2185, 0.1934)  2 K 2.64, 3 Cs 2.71-2.94
F (0.2441, 0.2441, 0.7672)  2 K 2.63, 2 Cs 2.89
F (0.2820, 0.7029, 0.3003)  1 Co 2.23
F (0.2971, 0.7180, 0.6997)  1 Co 2.23
F (0.7029, 0.2820, 0.3003)  1 Co 2.23
F (0.7180, 0.2971, 0.6997)  1 Co 2.23
F (0.7559, 0.7559, 0.2328)  2 K 2.63, 2 Cs 2.89
F (0.7815, 0.7815, 0.8066)  2 K 2.64, 3 Cs 2.71-2.94

Summary:
Electronic total energy in eV/atom: -4.058
Magnetization in μB/atom: 0.125
Crystal system: monoclinic

***

Computed, not measured: a relaxed structure of CsK2CoF6 at the GGA+U level of DFT.

abc: 6.1808 6.7293 10.7170
angles: 90.00 124.37 90.00
Last column: nearest neighbours and their distance in Å.
Sites, in units of the cell vectors:
Cs (0.0000, 0.0000, 0.0000)  4 F 2.81-3.01
Cs (0.0000, 0.5000, 0.5000)  4 F 2.81-3.01
K (0.2211, 0.0237, 0.7281)  6 F 2.66-2.77
K (0.2211, 0.4763, 0.2281)  6 F 2.66-2.77
K (0.7789, 0.5237, 0.7719)  6 F 2.66-2.77
K (0.7789, 0.9763, 0.2719)  6 F 2.66-2.77
Co (0.5000, 0.0000, 0.5000)  6 F 1.88-1.90
Co (0.5000, 0.5000, 0.0000)  6 F 1.88-1.90
F (0.2287, 0.1482, 0.4849)  1 Co 1.88
F (0.2287, 0.3518, 0.9849)  1 Co 1.88
F (0.2573, 0.7072, 0.8893)  1 Co 1.90
F (0.2573, 0.7928, 0.3893)  1 Co 1.90
F (0.4260, 0.1151, 0.3195)  1 Co 1.88
F (0.4260, 0.3849, 0.8195)  1 Co 1.88
F (0.5740, 0.6151, 0.1805)  1 Co 1.88
F (0.5740, 0.8849, 0.6805)  1 Co 1.88
F (0.7427, 0.2072, 0.6107)  1 Co 1.90
F (0.7427, 0.2928, 0.1107)  1 Co 1.90
F (0.7713, 0.6482, 0.0151)  1 Co 1.88
F (0.7713, 0.8518, 0.5151)  1 Co 1.88

Summary:
Electronic total energy in eV/atom: -4.394
Magnetization in μB/atom: 0.009
Crystal system: monoclinic

***

Computed, not measured: a relaxed structure of Cs3K3CoF8 at the GGA+U level of DFT.

abc: 7.7353 7.7353 8.0736
angles: 118.73 118.73 59.93
Last column: nearest neighbours and their distance in Å.
Sites, in units of the cell vectors:
Cs (0.0000, 0.0000, 0.0000)  6 F 2.94-2.97
Cs (0.0000, 0.5000, 0.0000)  6 F 2.94-2.98
Cs (0.5000, 0.0000, 0.0000)  6 F 2.94-2.98
K (0.0000, 0.5000, 0.5000)  6 F 2.66-2.77
K (0.5000, 0.0000, 0.5000)  6 F 2.66-2.77
K (0.5000, 0.5000, 0.5000)  6 F 2.66-2.77
Co (0.0000, 0.0000, 0.5000)  6 F 2.12-2.14
F (0.1905, 0.1905, 0.6766)  1 Co 2.12
F (0.1911, 0.7949, 0.6781)  1 Co 2.14
F (0.2051, 0.8089, 0.3219)  1 Co 2.14
F (0.2616, 0.2616, 0.2845)  3 K 2.66, 3 Cs 2.94
F (0.7384, 0.7384, 0.7155)  3 K 2.66, 3 Cs 2.94
F (0.7949, 0.1911, 0.6781)  1 Co 2.14
F (0.8089, 0.2051, 0.3219)  1 Co 2.14
F (0.8095, 0.8095, 0.3234)  1 Co 2.12

Summary:
Electronic total energy in eV/atom: -4.297
Magnetization in μB/atom: 0.200
Crystal system: monoclinic

***

Computed, not measured: a relaxed structure of Cs2KCo3F12 at the GGA+U level of DFT.

abc: 7.5098 7.5098 7.5098
angles: 59.69 59.69 59.69
Last column: nearest neighbours and their distance in Å.
Sites, in units of the cell vectors:
Cs (0.1123, 0.1123, 0.1123)  6 F 2.98-3.22
Cs (0.8877, 0.8877, 0.8877)  6 F 2.98-3.22
K (0.5000, 0.5000, 0.5000)  6 F 2.71
Co (0.0000, 0.5000, 0.5000)  6 F 1.81-1.97
Co (0.5000, 0.0000, 0.5000)  6 F 1.81-1.97
Co (0.5000, 0.5000, 0.0000)  6 F 1.81-1.97
F (0.0619, 0.6155, 0.6155)  1 Co 1.81
F (0.2177, 0.2177, 0.6038)  2 Co 1.97
F (0.2177, 0.6038, 0.2177)  2 Co 1.97
F (0.3845, 0.3845, 0.9381)  1 Co 1.81
F (0.3845, 0.9381, 0.3845)  1 Co 1.81
F (0.3962, 0.7823, 0.7823)  2 Co 1.97
F (0.6038, 0.2177, 0.2177)  2 Co 1.97
F (0.6155, 0.0619, 0.6155)  1 Co 1.81
F (0.6155, 0.6155, 0.0619)  1 Co 1.81
F (0.7823, 0.3962, 0.7823)  2 Co 1.97
F (0.7823, 0.7823, 0.3962)  2 Co 1.97
F (0.9381, 0.3845, 0.3845)  1 Co 1.81

Summary:
Electronic total energy in eV/atom: -4.489
Magnetization in μB/atom: 0.333
Crystal system: trigonal

***

Computed, not measured: a relaxed structure of Cs2KCoF6 at the GGA+U level of DFT.

abc: 6.3836 6.3836 6.3836
angles: 60.00 60.00 60.00
Last column: nearest neighbours and their distance in Å.
Sites, in units of the cell vectors:
Cs (0.2500, 0.2500, 0.2500)  12 F 3.21
Cs (0.7500, 0.7500, 0.7500)  12 F 3.21
K (0.0000, 0.0000, 0.0000)  6 F 2.63
Co (0.5000, 0.5000, 0.5000)  6 F 1.89
F (0.2910, 0.2910, 0.7090)  1 Co 1.89
F (0.2910, 0.7090, 0.2910)  1 Co 1.89
F (0.2910, 0.7090, 0.7090)  1 Co 1.89
F (0.7090, 0.2910, 0.2910)  1 Co 1.89
F (0.7090, 0.2910, 0.7090)  1 Co 1.89
F (0.7090, 0.7090, 0.2910)  1 Co 1.89

Summary:
Electronic total energy in eV/atom: -4.409
Magnetization in μB/atom: 0.010
Crystal system: cubic

***

Computed, not measured: a relaxed structure of Cs2KCo2F7 at the GGA+U level of DFT.

abc: 4.2386 4.2386 11.9305
angles: 100.20 100.20 90.00
Last column: nearest neighbours and their distance in Å.
Sites, in units of the cell vectors:
Cs (0.1843, 0.1843, 0.3653)  9 F 2.99-3.25
Cs (0.8157, 0.8157, 0.6347)  9 F 2.99-3.25
K (0.0000, 0.0000, 0.0000)  12 F 2.91-3.00
Co (0.4115, 0.4115, 0.8236)  6 F 2.04-2.12
Co (0.5885, 0.5885, 0.1764)  6 F 2.04-2.12
F (0.0866, 0.5870, 0.1730)  2 Co 2.12
F (0.3238, 0.3238, 0.6467)  1 Co 2.04
F (0.4130, 0.9134, 0.8270)  2 Co 2.12
F (0.5000, 0.5000, 0.0000)  2 Co 2.04
F (0.5870, 0.0866, 0.1730)  2 Co 2.12
F (0.6762, 0.6762, 0.3533)  1 Co 2.04
F (0.9134, 0.4130, 0.8270)  2 Co 2.12

Summary:
Electronic total energy in eV/atom: -4.644
Magnetization in μB/atom: 0.500
Crystal system: monoclinic

***

Computed, not measured: a relaxed structure of Cs3KCo2F9 at the GGA+U level of DFT.

abc: 6.2815 6.2815 7.7901
angles: 90.00 90.00 120.00
Last column: nearest neighbours and their distance in Å.
Sites, in units of the cell vectors:
Cs (0.0000, 0.0000, 0.0000)  12 F 3.05-3.14
Cs (0.3333, 0.6667, 0.6644)  12 F 3.17-3.31
Cs (0.6667, 0.3333, 0.3356)  12 F 3.17-3.31
K (0.0000, 0.0000, 0.5000)  6 F 2.60
Co (0.3333, 0.6667, 0.1498)  6 F 1.94-2.16
Co (0.6667, 0.3333, 0.8502)  6 F 1.94-2.16
F (0.0000, 0.5000, 0.0000)  2 Co 2.16
F (0.1865, 0.3731, 0.2919)  1 Co 1.94
F (0.1865, 0.8135, 0.2919)  1 Co 1.94
F (0.3731, 0.1865, 0.7081)  1 Co 1.94
F (0.5000, 0.0000, 0.0000)  2 Co 2.16
F (0.5000, 0.5000, 0.0000)  2 Co 2.16
F (0.6269, 0.8135, 0.2919)  1 Co 1.94
F (0.8135, 0.1865, 0.7081)  1 Co 1.94
F (0.8135, 0.6269, 0.7081)  1 Co 1.94

Summary:
Electronic total energy in eV/atom: -4.472
Magnetization in μB/atom: 0.467
Crystal system: trigonal

***

Computed, not measured: a relaxed structure of Cs3KCo2F8 at the GGA+U level of DFT.

abc: 6.5483 6.5483 8.4304
angles: 90.00 90.00 120.00
Last column: nearest neighbours and their distance in Å.
Sites, in units of the cell vectors:
Cs (0.0000, 0.0000, 0.0000)  6 F 3.25
Cs (0.3333, 0.6667, 0.6531)  1 F 2.78
Cs (0.6667, 0.3333, 0.3469)  1 F 2.78
K (0.0000, 0.0000, 0.5000)  6 F 2.60
Co (0.3333, 0.6667, 0.2075)  4 F 1.90-1.95
Co (0.6667, 0.3333, 0.7925)  4 F 1.90-1.95
F (0.1772, 0.3545, 0.3036)  1 Co 1.95
F (0.1772, 0.8228, 0.3036)  1 Co 1.95
F (0.3333, 0.6667, 0.9826)  1 Co 1.90
F (0.3545, 0.1772, 0.6964)  1 Co 1.95
F (0.6455, 0.8228, 0.3036)  1 Co 1.95
F (0.6667, 0.3333, 0.0174)  1 Co 1.90
F (0.8228, 0.1772, 0.6964)  1 Co 1.95
F (0.8228, 0.6455, 0.6964)  1 Co 1.95

Summary:
Electronic total energy in eV/atom: -4.546
Magnetization in μB/atom: 0.429
Crystal system: trigonal

***

Computed, not measured: a relaxed structure of CsLaCoF6 at the GGA+U level of DFT.

abc: 5.9832 5.9932 6.3869
angles: 89.99 89.74 60.26
Last column: nearest neighbours and their distance in Å.
Sites, in units of the cell vectors:
Cs (0.0000, 0.0000, 0.0000)  6 F 3.04-3.06
La (0.6667, 0.6666, 0.5000)  6 F 2.34
Co (0.3332, 0.3318, 0.4992)  6 F 2.08-2.09
F (0.0299, 0.3615, 0.6809)  1 Co 2.08
F (0.0330, 0.6037, 0.3168)  1 Co 2.09
F (0.3593, 0.6065, 0.6806)  1 Co 2.08
F (0.3654, 0.0296, 0.3166)  1 Co 2.08
F (0.6043, 0.0318, 0.6824)  1 Co 2.09
F (0.6082, 0.3605, 0.3183)  1 Co 2.08

Summary:
Electronic total energy in eV/atom: -5.597
Magnetization in μB/atom: 0.333
Crystal system: triclinic

***

Computed, not measured: a relaxed structure of Cs2LaCo3F12 at the GGA+U level of DFT.

abc: 7.4666 7.4666 7.4666
angles: 61.80 61.80 61.80
Last column: nearest neighbours and their distance in Å.
Sites, in units of the cell vectors:
Cs (0.1107, 0.1107, 0.1107)  6 F 3.02-3.33
Cs (0.8893, 0.8893, 0.8893)  6 F 3.02-3.33
La (0.5000, 0.5000, 0.5000)  6 F 2.38
Co (0.0000, 0.5000, 0.5000)  6 F 2.00-2.01
Co (0.5000, 0.0000, 0.5000)  6 F 2.00-2.01
Co (0.5000, 0.5000, 0.0000)  6 F 2.00-2.01
F (0.1186, 0.6082, 0.6082)  1 Co 2.01
F (0.2165, 0.2165, 0.5914)  2 Co 2.00
F (0.2165, 0.5914, 0.2165)  2 Co 2.00
F (0.3918, 0.3918, 0.8814)  1 Co 2.01
F (0.3918, 0.8814, 0.3918)  1 Co 2.01
F (0.4086, 0.7835, 0.7835)  2 Co 2.00
F (0.5914, 0.2165, 0.2165)  2 Co 2.00
F (0.6082, 0.1186, 0.6082)  1 Co 2.01
F (0.6082, 0.6082, 0.1186)  1 Co 2.01
F (0.7835, 0.4086, 0.7835)  2 Co 2.00
F (0.7835, 0.7835, 0.4086)  2 Co 2.00
F (0.8814, 0.3918, 0.3918)  1 Co 2.01

Summary:
Electronic total energy in eV/atom: -5.172
Magnetization in μB/atom: 0.556
Crystal system: trigonal

***

Computed, not measured: a relaxed structure of Cs2LiCo3F12 at the GGA+U level of DFT.

abc: 7.1988 7.1988 7.1988
angles: 61.38 61.38 61.38
Last column: nearest neighbours and their distance in Å.
Sites, in units of the cell vectors:
Cs (0.1267, 0.1267, 0.1267)  6 F 3.13-3.18
Cs (0.8733, 0.8733, 0.8733)  6 F 3.13-3.18
Li (0.5000, 0.5000, 0.5000)  6 F 2.06
Co (0.0000, 0.5000, 0.5000)  6 F 1.82-1.97
Co (0.5000, 0.0000, 0.5000)  6 F 1.82-1.97
Co (0.5000, 0.5000, 0.0000)  6 F 1.82-1.97
F (0.1658, 0.5693, 0.5693)  1 Co 1.82
F (0.1821, 0.1821, 0.5714)  2 Co 1.97
F (0.1821, 0.5714, 0.1821)  2 Co 1.97
F (0.4286, 0.8179, 0.8179)  2 Co 1.97
F (0.4307, 0.4307, 0.8342)  1 Co 1.82
F (0.4307, 0.8342, 0.4307)  1 Co 1.82
F (0.5693, 0.1658, 0.5693)  1 Co 1.82
F (0.5693, 0.5693, 0.1658)  1 Co 1.82
F (0.5714, 0.1821, 0.1821)  2 Co 1.97
F (0.8179, 0.4286, 0.8179)  2 Co 1.97
F (0.8179, 0.8179, 0.4286)  2 Co 1.97
F (0.8342, 0.4307, 0.4307)  1 Co 1.82

Summary:
Electronic total energy in eV/atom: -4.540
Magnetization in μB/atom: 0.333
Crystal system: trigonal

***

Computed, not measured: a relaxed structure of Cs3LiCo2F9 at the GGA+U level of DFT.

abc: 6.0914 6.0914 7.4321
angles: 90.00 90.00 120.00
Last column: nearest neighbours and their distance in Å.
Sites, in units of the cell vectors:
Cs (0.0000, 0.0000, 0.0000)  12 F 2.99-3.05
Cs (0.3333, 0.6667, 0.6588)  12 F 3.05-3.09
Cs (0.6667, 0.3333, 0.3412)  12 F 3.05-3.09
Li (0.0000, 0.0000, 0.5000)  6 F 2.34
Co (0.3333, 0.6667, 0.1647)  6 F 1.97-2.14
Co (0.6667, 0.3333, 0.8353)  6 F 1.97-2.14
F (0.0000, 0.5000, 0.0000)  2 Co 2.14
F (0.1782, 0.3564, 0.3129)  1 Co 1.97
F (0.1782, 0.8218, 0.3129)  1 Co 1.97
F (0.3564, 0.1782, 0.6871)  1 Co 1.97
F (0.5000, 0.0000, 0.0000)  2 Co 2.14
F (0.5000, 0.5000, 0.0000)  2 Co 2.14
F (0.6436, 0.8218, 0.3129)  1 Co 1.97
F (0.8218, 0.1782, 0.6871)  1 Co 1.97
F (0.8218, 0.6436, 0.6871)  1 Co 1.97

Summary:
Electronic total energy in eV/atom: -4.500
Magnetization in μB/atom: 0.467
Crystal system: trigonal